1.
VASP calculation (PBE) on Ca2GdIn after structural relaxation.

Cell lengths 5.2381, 4.8898, 4.8898 Å; angles 90.00, 90.00, 90.00 degrees
Last column: magnetic moment on the atom in μB.
Sites, in units of the cell vectors:
Ca1 0.0000 0.0000 0.5000  0.01
Ca2 0.0000 0.5000 0.0000  0.01
In1 0.5000 0.5000 0.5000  0.03
Gd1 0.5000 0.0000 0.0000  -7.04

E_form	-0.221	eV/atom
symmetry	P4/mmm



2.
VASP calculation (PBE) on PaCdSb2 after structural relaxation.

Cell lengths 5.2863, 5.2863, 5.2863 Å; angles 60.00, 60.00, 60.00 degrees
Sites, in units of the cell vectors:
Cd1 0.0000 0.0000 0.0000
Pa1 0.5000 0.5000 0.5000
Sb1 0.2500 0.2500 0.2500
Sb2 0.7500 0.7500 0.7500

symmetry	Fm-3m
E_form (uncorrected)	-0.09	eV per atom



3.
VASP calculation (PBE) on PmHo2Sc3Se6 after structural relaxation.

Cell lengths 6.9004, 6.9004, 6.9375 Å; angles 99.47, 99.47, 120.20 degrees
Sites, in units of the cell vectors:
Ho1 0.6655 0.3345 0.0000
Ho2 0.3345 0.6655 0.0000
Se1 0.7459 0.7459 0.2643
Se2 0.5677 0.9109 0.7308
Se3 0.0891 0.4323 0.2692
Se4 0.2541 0.2541 0.7357
Se5 0.4323 0.0891 0.2692
Se6 0.9109 0.5677 0.7308
Pm1 0.0000 0.0000 0.0000
Sc1 0.1578 0.8422 0.5000
Sc2 0.8422 0.1578 0.5000
Sc3 0.5000 0.5000 0.5000

symmetry	C2/m
E_form (uncorrected)	-1.67	eV per atom



Calculated values (μB/atom) of magnetic moment for the records, taken in order: 1.765, 0.001, 0.000.
Calculated values (eV per atom) of energy for the records, taken in order: -5.427, -4.756, -6.154.